Entry 1:
Y4InAs | PBE | relaxed

abc: 8.8398 8.8398 8.8398
angles: 90.00 90.00 90.00
Space group F-43m (No. 216)
Symmetry-distinct sites (fractional):
Y1 0.1254 0.1254 0.1254 [16 per cell]
In1 0.0000 0.0000 0.5000 [4 per cell]
As1 0.2500 0.2500 0.7500 [4 per cell]

## Properties
As for the formation energy: 0.201 eV/atom. As for the crystal system: cubic.

***

Entry 2:
Ac2Pm3Pb4 | PBE | relaxed

abc: 7.4244 18.0664 9.3328
angles: 90.00 90.00 90.00
Space group Cmce (No. 64)
Symmetry-distinct sites (fractional):
Ac1 0.0000 0.1110 0.0872 [8 per cell]
Pm1 0.0000 0.0000 0.5000 [4 per cell]
Pm2 0.2500 0.2073 0.7500 [8 per cell]
Pb1 0.0000 0.1859 0.4457 [8 per cell]
Pb2 0.2500 0.0335 0.7500 [8 per cell]

## Properties
As for the relative energy among the computed polymorphs: 106.8 meV per atom. As for the formation energy: -0.504 eV/atom. As for the crystal system: orthorhombic.

***

Entry 3:
Ca2UTl3O6 | PBE | relaxed

abc: 6.0445 10.4628 7.1922
angles: 90.00 106.58 90.00
Space group C2/m (No. 12)
Symmetry-distinct sites (fractional):
Ca1 0.0000 0.1667 0.0000 [4 per cell]
U1 0.0000 0.5000 0.0000 [2 per cell]
Tl1 0.0000 0.0000 0.5000 [2 per cell]
Tl2 0.0000 0.3373 0.5000 [4 per cell]
O1 0.2031 0.3508 0.1577 [8 per cell]
O2 0.2452 0.5000 0.8404 [4 per cell]

## Properties
The calculation puts the uncorrected formation energy at -2221.8 meV per atom. As for the crystal system: monoclinic.